1.
The following is a DFT calculation (PBE) of Ac2H8Ru after structural relaxation.

```
11
Lattice="3.883 0.000 0.000 0.000 4.476 -0.171 -1.941 -2.092 7.087" Properties=species:S:1:pos:R:3 pbc="T T T"
Ac 1.941 0.092 5.029
Ac 0.000 2.293 1.887
H 0.000 0.868 6.158
H 1.941 -0.478 1.681
H 1.941 2.283 3.512
H 1.941 -1.346 7.027
H 0.000 0.102 3.404
H 0.000 2.863 5.235
H 1.941 1.516 0.758
H 0.000 3.730 -0.112
Ru 1.941 0.000 0.000
```

**E_tot**: -4.3546 eV per atom

***

2.
The following is a DFT calculation (PBE) of AcCd4Au8 after structural relaxation.

```
13
Lattice="-5.678 0.527 -0.605 -3.700 -1.383 6.344 -2.402 6.935 1.407" Properties=species:S:1:pos:R:3 pbc="T T T"
Ac 0.000 0.000 0.000
Cd -1.201 3.468 0.704
Cd -4.040 3.731 0.401
Cd -1.850 -0.692 3.172
Cd -4.689 -0.428 2.869
Au -2.850 4.065 3.111
Au -3.252 1.487 4.640
Au -5.956 3.818 4.868
Au -5.824 2.261 2.278
Au -6.263 0.647 4.993
Au -5.517 5.432 2.153
Au -2.929 1.331 1.473
Au -8.851 4.748 5.674
```

**Formation enthalpy at 0 K**: -275 meV per atom

***

3.
The following is a DFT calculation (PBE) of MgCoHg2 after structural relaxation.

```
4
Lattice="9.153 0.020 0.012 8.608 3.110 0.012 8.608 1.517 2.715" Properties=species:S:1:pos:R:3 pbc="T T T"
Co 19.777 3.485 2.054
Hg 0.163 0.029 0.017
Hg 13.022 2.295 1.352
Mg 6.592 1.162 0.685
```

**Formation enthalpy at 0 K**: 284 meV per atom

***

4.
The following is a DFT calculation (PBE) of Ce3ErTc after structural relaxation.

```
5
Lattice="5.354 0.000 0.000 0.000 5.354 0.000 0.000 0.000 5.354" Properties=species:S:1:pos:R:3 pbc="T T T"
Tc 0.000 0.000 0.000
Ce 0.000 2.677 0.000
Ce 0.000 0.000 2.677
Ce 2.677 0.000 0.000
Er 2.677 2.677 2.677
```

**Formation enthalpy at 0 K**: 134 meV per atom

***

5.
The following is a DFT calculation (PBE) of K2TePtW after structural relaxation.

```
5
Lattice="6.482 0.000 0.000 0.000 5.154 0.000 0.000 0.000 6.482" Properties=species:S:1:pos:R:3 pbc="T T T"
K 0.000 0.000 3.241
K 3.241 0.000 0.000
Te 0.000 0.000 0.000
W 0.000 2.577 0.000
Pt 3.241 2.577 3.241
```

**Uncorrected formation energy**: 1.188 eV per atom

***

6.
The following is a DFT calculation (PBE) of Nd3Dy3Sc2 after structural relaxation.

```
8
Lattice="-4.796 1.396 0.554 -0.205 -2.433 4.355 2.917 8.156 4.694" Properties=species:S:1:pos:R:3 pbc="T T T"
Nd -0.940 4.776 2.624
Nd -0.103 -1.216 2.177
Nd 1.356 2.862 4.524
Dy -0.307 5.617 5.985
Dy -1.778 1.503 3.618
Dy -2.398 0.698 0.277
Sc 2.194 6.136 3.532
Sc 0.722 2.020 1.163
```

**Relative energy among the computed polymorphs**: 0.0 kJ per mole of atoms
**Formation enthalpy at 0 K**: 42 meV per atom

***

7.
The following is a DFT calculation (PBE) of SrGa4PtRh2 after structural relaxation.

```
8
Lattice="-0.465 1.096 -4.112 3.228 -0.585 -2.749 -2.274 -8.409 -4.212" Properties=species:S:1:pos:R:3 pbc="T T T"
Sr 0.000 0.000 0.000
Ga -0.663 -6.387 -6.083
Ga 1.512 -2.849 -7.615
Ga -1.023 -5.049 -3.458
Ga 1.152 -1.511 -4.989
Pt 0.244 -3.949 -5.536
Rh 0.586 -5.335 -8.172
Rh -0.097 -2.563 -2.900
```

**Formation enthalpy at 0 K**: -593 meV per atom

***

8.
The following is a DFT calculation (PBE) of Cs2TbPmS4 after structural relaxation.

```
8
Lattice="-2.192 1.280 3.312 2.629 -5.511 3.870 5.344 6.443 1.046" Properties=species:S:1:pos:R:3 pbc="T T T"
Cs 1.576 3.862 2.179
Cs 3.987 0.466 2.458
Tb 0.219 -2.115 3.591
Pm 0.000 0.000 0.000
S 0.504 0.545 2.752
S 5.277 1.667 5.476
S 5.095 3.737 1.927
S 2.878 -2.804 2.989
```

**Uncorrected formation energy**: -1.824 eV per atom

***

9.
The following is a DFT calculation (PBE) of TlTcRh2 after structural relaxation.

```
4
Lattice="-1.793 1.050 -4.089 0.005 -2.767 -0.713 -4.531 -0.513 1.855" Properties=species:S:1:pos:R:3 pbc="T T T"
Rh -4.405 -0.856 1.711
Rh -2.232 0.034 -1.585
Tc -1.983 -1.942 0.371
Tl -4.493 -1.619 -1.018
```

**Relative energy among the computed polymorphs**: 18.9 kJ per mole of atoms
**Formation enthalpy at 0 K**: 287 meV per atom

***

10.
The following is a DFT calculation (PBE) of Mg4TeH3Pd12 after structural relaxation.

```
20
Lattice="7.338 0.000 0.000 -2.446 6.918 0.000 -2.446 -3.459 5.992" Properties=species:S:1:pos:R:3 pbc="T T T"
Mg 1.223 1.730 2.996
Mg -1.223 -1.730 2.996
Mg 3.669 0.000 0.000
Mg -1.223 3.459 0.000
Te 0.000 0.000 0.000
H 2.446 -1.730 2.996
H 2.446 3.459 0.000
H -2.446 1.730 2.996
Pd -1.223 0.865 4.494
Pd 3.483 -2.463 4.265
Pd 1.409 -0.997 1.726
Pd 3.669 2.594 1.498
Pd 3.483 4.925 0.000
Pd 1.409 1.993 0.000
Pd 3.669 0.000 2.996
Pd -1.223 3.459 2.996
Pd 1.223 -0.865 4.494
Pd -3.483 2.463 4.265
Pd 1.223 4.324 1.498
Pd -1.409 0.997 1.726
```

**E_tot**: -4.4391 eV per atom